Crystalline Ce3Pm4PrSe8 at its relaxed geometry. Source: Alexandria via LeMat-Bulk, functional PBE.

a b c (Å): 8.4139 8.4215 8.4147
angles (deg): 119.97 120.00 90.00
Each line ends with the local moment (μB).
Fractional positions:
Pm: 0.0000 0.0000 0.0000  0.00
Pm: 0.0000 0.0000 0.5000  0.00
Pm: 0.5000 0.0000 0.0000  0.03
Pm: 0.5000 0.0000 0.5000  0.00
Se: 0.2517 0.2478 0.9995  -0.01
Se: 0.2522 0.7522 0.0005  -0.01
Se: 0.7478 0.2478 0.9995  -0.01
Se: 0.7503 0.7510 0.5006  -0.01
Se: 0.2519 0.7524 0.5038  -0.01
Se: 0.7483 0.7522 0.0005  -0.01
Se: 0.2497 0.2490 0.4994  -0.01
Se: 0.7481 0.2476 0.4962  -0.01
Pr: 0.0000 0.5000 0.0000  0.02
Ce: 0.5000 0.5000 0.0000  0.80
Ce: 0.0000 0.5000 0.5000  0.80
Ce: 0.5000 0.5000 0.5000  0.80

Output
uncorrected formation energy: -29.436 eV/f.u.


Crystalline Cs2Ac2PaSe6 at its relaxed geometry. Source: Alexandria via LeMat-Bulk, functional PBE.

a b c (Å): 7.7546 7.7546 8.9612
angles (deg): 98.50 98.50 119.41
Each line ends with the local moment (μB).
Fractional positions:
Se: 0.0618 0.3747 0.6867  -0.01
Se: 0.6253 0.9382 0.3133  -0.01
Se: 0.3747 0.0618 0.6867  -0.01
Se: 0.9382 0.6253 0.3133  -0.01
Se: 0.2439 0.2439 0.3130  -0.01
Se: 0.7561 0.7561 0.6870  -0.01
Cs: 0.1702 0.8298 0.0000  0.00
Cs: 0.8298 0.1702 0.0000  0.00
Pa: 0.0000 0.0000 0.5000  1.03
Ac: 0.3342 0.6658 0.5000  0.01
Ac: 0.6658 0.3342 0.5000  0.01

Output
uncorrected formation energy: -18.621 eV/f.u.


Crystalline TmHfAlZn at its relaxed geometry. Source: Alexandria via LeMat-Bulk, functional PBE.

a b c (Å): 4.8413 4.8413 4.8413
angles (deg): 60.00 60.00 60.00
Fractional positions:
Hf: 0.2500 0.2500 0.2500
Al: 0.5000 0.5000 0.5000
Tm: 0.7500 0.7500 0.7500
Zn: 0.0000 0.0000 0.0000

Output
ΔE_f: -0.259 eV per atom


Crystalline TlSiAg at its relaxed geometry. Source: Alexandria via LeMat-Bulk, functional PBE.

a b c (Å): 7.2163 8.1989 4.6748
angles (deg): 90.00 90.00 90.00
Fractional positions:
Tl: 0.5000 0.0000 0.5000
Tl: 0.5000 0.5000 0.5000
Tl: 0.0000 0.5000 0.0000
Tl: 0.0000 0.0000 0.0000
Si: 0.2279 0.7500 0.5000
Si: 0.2721 0.2500 0.0000
Si: 0.7279 0.7500 0.0000
Si: 0.7721 0.2500 0.5000
Ag: 0.8732 0.7500 0.5000
Ag: 0.1268 0.2500 0.5000
Ag: 0.6268 0.2500 0.0000
Ag: 0.3733 0.7500 0.0000

Output
uncorrected formation energy: 1.150 eV/f.u.


Crystalline BaMn2Nb at its relaxed geometry. Source: Alexandria via LeMat-Bulk, functional PBE.

a b c (Å): 4.6827 4.6827 4.6827
angles (deg): 60.00 60.00 60.00
Fractional positions:
Ba: 0.5000 0.5000 0.5000
Mn: 0.7500 0.7500 0.7500
Mn: 0.2500 0.2500 0.2500
Nb: 0.0000 0.0000 0.0000

Output
E above lowest polymorph: 92 meV/atom
ΔE_f: 1.258 eV per atom